This record from Alexandria via LeMat-Bulk describes a relaxed ZrAs2Cl crystal. The functional is PBE-GGA.

Structure (POSCAR):
```
ZrAs2Cl
1.0
-1.9788 1.9788 10.6062
1.9788 -1.9788 10.6062
1.9788 1.9788 -10.6062
Zr As Cl
2 4 2
Cartesian
0.0000 0.0000 0.0000
0.0000 1.9788 5.3031
2.9682 0.7615 -2.6516
0.7615 0.9894 2.6516
-0.9894 1.2173 7.9547
1.2173 0.9894 13.2578
1.9788 0.0000 5.3031
0.0000 0.0000 10.6062
```

Values from the calculation:
ΔE to the lowest computed polymorph = 372 meV per atom
E = -42.3 eV per cell
SG = I-42d (122)
Formation energy (no corrections) = -0.36 eV/atom

=====

This record from Alexandria via LeMat-Bulk describes a relaxed Y2TmCd6 crystal. The functional is PBE-GGA.

Structure (POSCAR):
```
Y2TmCd6
1.0
8.5896 0.0000 0.0000
-4.2948 7.4388 0.0000
0.0000 0.0000 3.4363
Y Tm Cd
2 1 6
Cartesian
0.0000 4.9592 0.0000
4.2948 2.4796 0.0000
0.0000 0.0000 0.0000
-1.4273 2.4721 1.7182
-2.8675 4.9666 1.7182
2.8546 0.0000 1.7182
1.4273 2.4721 1.7182
5.7350 0.0000 1.7182
2.8675 4.9666 1.7182
```

Values from the calculation:
E = -25.8 eV per cell
Formation energy from the elements = -31 kJ/mol of atoms
SG = P6/mmm (191)